# 1
A plane-wave DFT calculation with GGA-PBE was carried out for crystalline KRbLi2Tl at its relaxed geometry.

The structure in CIF format:
```
data_KRbLi2Tl
_space_group_name_H-M_alt 'P 4/m m m'
_space_group_IT_number 123
_space_group_name_Hall '-P 4 2'
_cell_length_a 5.711
_cell_length_b 5.711
_cell_length_c 6.541
_cell_angle_alpha 90.00
_cell_angle_beta 90.00
_cell_angle_gamma 90.00
loop_
_atom_site_label
_atom_site_fract_x
_atom_site_fract_y
_atom_site_fract_z
_atom_site_occupancy
K1 0.000 0.000 0.000 1
Rb1 0.500 0.500 0.000 1
Li1 0.000 0.500 0.500 1
Tl1 0.000 0.000 0.500 1
```

Properties
calculated total energy: -1.588 eV per atom



# 2
A plane-wave DFT calculation with GGA-PBE was carried out for crystalline K2RbLiTl at its relaxed geometry.

The structure in CIF format:
```
data_K2RbLiTl
_space_group_name_H-M_alt 'P 4/m m m'
_space_group_IT_number 123
_space_group_name_Hall '-P 4 2'
_cell_length_a 6.740
_cell_length_b 6.740
_cell_length_c 5.526
_cell_angle_alpha 90.00
_cell_angle_beta 90.00
_cell_angle_gamma 90.00
loop_
_atom_site_label
_atom_site_fract_x
_atom_site_fract_y
_atom_site_fract_z
_atom_site_occupancy
K1 0.000 0.500 0.000 1
Rb1 0.000 0.000 0.500 1
Li1 0.500 0.500 0.000 1
Tl1 0.500 0.500 0.500 1
```

Properties
calculated total energy: -1.429 eV per atom
distance to the lowest polymorph of the same formula: 0.007 eV per atom



# 3
A plane-wave DFT calculation with GGA-PBE was carried out for crystalline KRbLiTl2 at its relaxed geometry.

The structure in CIF format:
```
data_KRbLiTl2
_space_group_name_H-M_alt 'P 4/m m m'
_space_group_IT_number 123
_space_group_name_Hall '-P 4 2'
_cell_length_a 5.515
_cell_length_b 5.515
_cell_length_c 6.167
_cell_angle_alpha 90.00
_cell_angle_beta 90.00
_cell_angle_gamma 90.00
loop_
_atom_site_label
_atom_site_fract_x
_atom_site_fract_y
_atom_site_fract_z
_atom_site_occupancy
K1 0.000 0.000 0.000 1
Rb1 0.500 0.500 0.000 1
Li1 0.000 0.000 0.500 1
Tl1 0.000 0.500 0.500 1
```

Properties
calculated total energy: -1.718 eV per atom
distance to the lowest polymorph of the same formula: 0.000 eV per atom



Record order is preserved below.
Energy of formation: 64; 60; 24 meV per atom